(1)
# Ce5Sn4 | the Alexandria database | PBE | optimized geometry
# Energy relative to the lowest polymorph listed for this composition ... 29 meV/atom
# Magnetization ... 5.18 μB per formula unit
# Calculated density ... 7.2 g cm⁻³
data_Ce5Sn4
_chemical_formula_sum 'Ce20 Sn16'
_symmetry_space_group_name_H-M 'P n m a'
_symmetry_Int_Tables_number 62
_cell_length_a 8.250
_cell_length_b 15.737
_cell_length_c 8.361
_cell_angle_alpha 90.00
_cell_angle_beta 90.00
_cell_angle_gamma 90.00
loop_
_symmetry_equiv_pos_as_xyz
'x,y,z'
'-x,-y,-z'
'-x+1/2,-y,z+1/2'
'x+1/2,y,-z+1/2'
'x+1/2,-y+1/2,-z+1/2'
'-x+1/2,y+1/2,z+1/2'
'-x,y+1/2,-z'
'x,-y+1/2,z'
loop_
_atom_site_label
_atom_site_type_symbol
_atom_site_fract_x
_atom_site_fract_y
_atom_site_fract_z
_atom_site_occupancy
Ce1 Ce 0.013 0.096 0.187 1
Ce2 Ce 0.128 0.624 0.339 1
Ce3 Ce 0.178 0.250 0.514 1
Sn1 Sn 0.060 0.250 0.901 1
Sn2 Sn 0.189 0.750 0.653 1
Sn3 Sn 0.210 0.040 0.539 1

(2)
# Na2Cd4InSn3 | the Alexandria database | PBE | optimized geometry
# Magnetization ... 0.00 μB per formula unit
# Calculated density ... 5.8 g cm⁻³
# VASP energy ... -2.177 eV per atom
data_Na2Cd4InSn3
_chemical_formula_sum 'Na2 Cd4 In1 Sn3'
_symmetry_space_group_name_H-M 'P -4 m 2'
_symmetry_Int_Tables_number 115
_cell_length_a 4.604
_cell_length_b 4.604
_cell_length_c 13.153
_cell_angle_alpha 90.00
_cell_angle_beta 90.00
_cell_angle_gamma 90.00
loop_
_symmetry_equiv_pos_as_xyz
'x,y,z'
'y,-x,-z'
'-x,-y,z'
'-y,x,-z'
'-x,y,z'
'-y,-x,-z'
'x,-y,z'
'y,x,-z'
loop_
_atom_site_label
_atom_site_type_symbol
_atom_site_fract_x
_atom_site_fract_y
_atom_site_fract_z
_atom_site_occupancy
Na1 Na 0.000 0.500 0.245 1
Cd1 Cd 0.000 0.000 0.000 1
Cd2 Cd 0.000 0.500 0.647 1
Cd3 Cd 0.500 0.500 0.000 1
In1 In 0.000 0.000 0.500 1
Sn1 Sn 0.000 0.500 0.860 1
Sn2 Sn 0.500 0.500 0.500 1

(3)
# LaCePr6Ho2 | the Alexandria database | PBE | optimized geometry
# Magnetization ... 1.25 μB per formula unit
# Calculated density ... 6.8 g cm⁻³
# VASP energy ... -4.648 eV per atom
data_LaCePr6Ho2
_chemical_formula_sum 'La2 Ce2 Pr12 Ho4'
_symmetry_space_group_name_H-M 'C 1 2/m 1'
_symmetry_Int_Tables_number 12
_cell_length_a 11.358
_cell_length_b 7.040
_cell_length_c 9.031
_cell_angle_alpha 90.00
_cell_angle_beta 102.09
_cell_angle_gamma 90.00
loop_
_symmetry_equiv_pos_as_xyz
'x,y,z'
'-x,-y,-z'
'-x,y,-z'
'x,-y,z'
'x+1/2,y+1/2,z'
'-x+1/2,-y+1/2,-z'
'-x+1/2,y+1/2,-z'
'x+1/2,-y+1/2,z'
loop_
_atom_site_label
_atom_site_type_symbol
_atom_site_fract_x
_atom_site_fract_y
_atom_site_fract_z
_atom_site_occupancy
La1 La 0.000 0.000 0.000 1
Ce1 Ce 0.000 0.500 0.500 1
Pr1 Pr 0.133 0.500 0.920 1
Pr2 Pr 0.168 0.235 0.301 1
Ho1 Ho 0.094 0.000 0.655 1

(4)
# Ac7Pm12Er | the Alexandria database | PBE | optimized geometry
# Magnetization ... 0.00 μB per formula unit
# Calculated density ... 6.5 g cm⁻³
# VASP energy ... -3.687 eV per atom
data_Ac7Pm12Er
_chemical_formula_sum 'Ac14 Pm24 Er2'
_symmetry_space_group_name_H-M 'I m -3'
_symmetry_Int_Tables_number 204
_symmetry_space_group_name_Hall '-I 2 2 3'
_cell_length_a 12.105
_cell_length_b 12.105
_cell_length_c 12.105
_cell_angle_alpha 90.00
_cell_angle_beta 90.00
_cell_angle_gamma 90.00
loop_
_atom_site_label
_atom_site_type_symbol
_atom_site_fract_x
_atom_site_fract_y
_atom_site_fract_z
_atom_site_occupancy
Ac1 Ac 0.000 0.000 0.500 1
Ac2 Ac 0.250 0.250 0.250 1
Pm1 Pm 0.000 0.320 0.243 1
Er1 Er 0.000 0.000 0.000 1

> calculated density of number 2 (Na2Cd4InSn3)?

5.8 g cm⁻³

> What is the calculated density in the second record?

5.8 g cm⁻³

> Among the records above, which one has the lowest calculated density?

Na2Cd4InSn3